[1]
Density functional theory data (PBE) for a geometry-optimized ErSc3As2 structure.

Values from the calculation:
ΔH_f (0 K): -0.8465 eV/atom
Symmetry: C2/m, No. 12
Raw total energy: -0.23235 Ha/atom

a = 7.890 Å, b = 7.890 Å, c = 9.963 Å
α = 111.45°, β = 111.45°, γ = 28.43°
Fractional coordinates of all 12 atoms:
Er  0.120  0.120  0.032
Er  0.880  0.880  0.968
Sc  0.059  0.059  0.396
Sc  0.285  0.285  0.632
Sc  0.377  0.377  0.307
Sc  0.623  0.623  0.693
Sc  0.715  0.715  0.368
Sc  0.941  0.941  0.604
As  0.233  0.233  0.853
As  0.481  0.481  0.820
As  0.519  0.519  0.180
As  0.767  0.767  0.147



[2]
Density functional theory data (PBE) for a geometry-optimized NaSmZnCl6 structure.

Values from the calculation:
E_form (uncorrected): -15.79 eV/f.u.
Symmetry: P-31c, No. 163
Raw total energy: -0.13958 Ha/atom

a = 6.715 Å, b = 6.715 Å, c = 12.499 Å
α = 90.00°, β = 90.00°, γ = 120.00°
Fractional coordinates of all 18 atoms:
Na  0.000  0.000  0.000
Na  0.000  0.000  0.500
Sm  0.333  0.667  0.250
Sm  0.667  0.333  0.750
Zn  0.333  0.667  0.750
Zn  0.667  0.333  0.250
Cl  0.024  0.368  0.633
Cl  0.024  0.656  0.867
Cl  0.344  0.368  0.867
Cl  0.344  0.976  0.633
Cl  0.368  0.024  0.133
Cl  0.368  0.344  0.367
Cl  0.632  0.656  0.633
Cl  0.632  0.976  0.867
Cl  0.656  0.024  0.367
Cl  0.656  0.632  0.133
Cl  0.976  0.344  0.133
Cl  0.976  0.632  0.367



[3]
Density functional theory data (PBE) for a geometry-optimized BaSc2Ta structure.

Values from the calculation:
ΔH_f (0 K): 1.2786 eV/atom
Symmetry: I4_1/amd, No. 141
Raw total energy: -0.19591 Ha/atom
Excess energy over the best structure of this formula in the dataset: 0.934 eV/atom

a = 8.846 Å, b = 8.846 Å, c = 8.846 Å
α = 136.32°, β = 136.32°, γ = 63.48°
Fractional coordinates of all 8 atoms:
Ba  0.375  0.625  0.750
Ba  0.625  0.375  0.250
Sc  0.000  0.000  0.000
Sc  0.000  0.000  0.500
Sc  0.000  0.500  0.000
Sc  0.500  0.000  0.500
Ta  0.125  0.875  0.250
Ta  0.875  0.125  0.750



[4]
Density functional theory data (PBE) for a geometry-optimized Li2ScTlBr6 structure.

Values from the calculation:
E_form (uncorrected): -14.35 eV/f.u.
Symmetry: R3, No. 146
Raw total energy: -0.13564 Ha/atom

a = 7.797 Å, b = 7.797 Å, c = 7.797 Å
α = 54.66°, β = 54.66°, γ = 54.66°
Fractional coordinates of all 10 atoms:
Li  0.000  0.000  0.000
Li  0.488  0.488  0.488
Sc  0.679  0.679  0.679
Tl  0.199  0.199  0.199
Br  0.075  0.433  0.738
Br  0.274  0.840  0.666
Br  0.433  0.738  0.075
Br  0.666  0.274  0.840
Br  0.738  0.075  0.433
Br  0.840  0.666  0.274



[5]
Density functional theory data (PBE) for a geometry-optimized SBr2O structure.

Values from the calculation:
E_form (uncorrected): 3.05 eV/f.u.
Symmetry: R-3m, No. 166
Raw total energy: -0.08618 Ha/atom

a = 7.905 Å, b = 7.905 Å, c = 7.905 Å
α = 27.36°, β = 27.36°, γ = 27.36°
Fractional coordinates of all 4 atoms:
S  0.000  0.000  0.000
Br  0.414  0.414  0.414
Br  0.586  0.586  0.586
O  0.500  0.500  0.500



[6]
Density functional theory data (PBE) for a geometry-optimized K2YOs structure.

Values from the calculation:
ΔH_f (0 K): 1.0182 eV/atom
Symmetry: I-42d, No. 122
Raw total energy: -0.14531 Ha/atom
Excess energy over the best structure of this formula in the dataset: 0.517 eV/atom

a = 13.210 Å, b = 13.210 Å, c = 13.210 Å
α = 161.62°, β = 161.62°, γ = 26.11°
Fractional coordinates of all 8 atoms:
K  0.114  0.625  0.989
K  0.375  0.364  0.489
K  0.636  0.125  0.011
K  0.875  0.886  0.511
Y  0.250  0.750  0.500
Y  0.500  0.500  0.000
Os  0.000  0.000  0.000
Os  0.750  0.250  0.500



[7]
Density functional theory data (PBE) for a geometry-optimized LiPr2Sm3Se6 structure.

Values from the calculation:
E_form (uncorrected): -21.47 eV/f.u.
Symmetry: C2/m, No. 12
Raw total energy: -0.20828 Ha/atom

a = 7.250 Å, b = 7.250 Å, c = 7.245 Å
α = 99.66°, β = 99.66°, γ = 120.17°
Fractional coordinates of all 12 atoms:
Li  0.000  0.000  0.000
Pr  0.335  0.665  0.000
Pr  0.665  0.335  0.000
Sm  0.168  0.832  0.500
Sm  0.500  0.500  0.500
Sm  0.832  0.168  0.500
Se  0.082  0.403  0.249
Se  0.235  0.235  0.752
Se  0.403  0.082  0.249
Se  0.597  0.918  0.751
Se  0.765  0.765  0.248
Se  0.918  0.597  0.751



[8]
Density functional theory data (PBE) for a geometry-optimized AcMnGe3 structure.

Values from the calculation:
ΔH_f (0 K): -0.3988 eV/atom
Symmetry: I4mm, No. 107
Raw total energy: -0.21406 Ha/atom
Excess energy over the best structure of this formula in the dataset: 0.000 eV/atom

a = 5.997 Å, b = 5.997 Å, c = 5.997 Å
α = 135.73°, β = 135.73°, γ = 64.40°
Fractional coordinates of all 5 atoms:
Ac  0.000  0.000  0.000
Mn  0.333  0.333  0.000
Ge  0.244  0.744  0.500
Ge  0.566  0.566  0.000
Ge  0.744  0.244  0.500